No. 1
Ac2PmNd2 | the Alexandria database | PBE | relaxed; raw total energy = -4.083 eV/atom; spin magnetization = 0.00 Bohr magnetons per cell; excess energy over the best structure of this formula in the dataset = 340 meV per atom; calculated formation energy = 2.09 eV per formula unit; SG = I4/mmm; volume = 208 Å³ per cell; crystal system = tetragonal; D(E_F) = 9.67 states/eV per cell
1.0
4.986 0.000 0.000
0.000 4.986 0.000
-2.493 -2.493 8.355
Ac Pm Nd
2 1 2
direct
0.750 0.250 0.500
0.250 0.750 0.500
0.000 0.000 0.000
0.408 0.408 0.817
0.592 0.592 0.183



No. 2
LaAl2Cd9 | the Alexandria database | PBE | relaxed; raw total energy = -1.804 eV/atom; spin magnetization = 0.00 Bohr magnetons per cell; calculated formation energy = -1.00 eV per formula unit; SG = I4_1/amd; volume = 543 Å³ per cell; crystal system = tetragonal; D(E_F) = 8.72 states/eV per cell
1.0
7.119 0.000 3.277
3.559 8.326 1.639
0.077 0.000 9.202
La Al Cd
2 4 18
direct
0.500 0.000 0.000
0.250 0.500 0.500
0.875 0.250 0.750
0.875 0.750 0.250
0.875 0.250 0.250
0.375 0.750 0.750
0.750 0.500 0.500
0.000 0.000 0.000
0.995 0.923 0.680
0.598 0.077 0.320
0.668 0.180 0.577
0.426 0.820 0.423
0.755 0.820 0.577
0.152 0.180 0.423
0.082 0.923 0.320
0.324 0.077 0.680
0.755 0.577 0.820
0.152 0.423 0.180
0.082 0.320 0.923
0.324 0.680 0.077
0.995 0.680 0.923
0.598 0.320 0.077
0.668 0.577 0.180
0.426 0.423 0.820



No. 3
Ba2InGaH | the Alexandria database | PBE | relaxed; raw total energy = -2.884 eV/atom; spin magnetization = 0.00 Bohr magnetons per cell; excess energy over the best structure of this formula in the dataset = 0 meV per atom; SG = P4/mmm; volume = 146 Å³ per cell; crystal system = tetragonal; D(E_F) = 3.53 states/eV per cell
1.0
-0.726 -2.828 -4.977
-0.830 -4.912 2.912
-4.313 0.824 0.161
H Ba Ga In
1 2 1 1
direct
0.000 0.000 0.000
0.000 0.500 0.000
0.500 0.000 0.000
0.000 0.000 0.500
0.500 0.500 0.500



No. 4
TbTm2AlN | the Alexandria database | PBE | relaxed; raw total energy = -6.064 eV/atom; spin magnetization = 0.00 Bohr magnetons per cell; SG = P4/mmm; energy relative to the elements, uncorrected = -0.94 eV per atom; volume = 106 Å³ per cell; crystal system = tetragonal; D(E_F) = 2.08 states/eV per cell
1.0
4.800 0.000 0.000
0.000 4.691 0.000
0.000 0.000 4.691
Tb Tm Al N
1 2 1 1
direct
0.500 0.000 0.000
0.000 0.000 0.500
0.000 0.500 0.000
0.500 0.500 0.500
0.000 0.000 0.000